1.
The following is a DFT calculation (GGA-PBEsol) of an optimized crystal structure of HgSeCl2.

a = 4.095 Å, b = 4.095 Å, c = 8.396 Å
α = 90.00°, β = 90.00°, γ = 127.38°
Fractional coordinates of all 4 atoms:
Hg 0.000 0.000 0.000
Se 0.500 0.500 0.226
Cl 0.000 0.000 0.430
Cl 0.500 0.500 0.790

Properties
* calculated total energy: -2.24 eV/atom
* offset from the most stable computed form: 0.000 eV per atom
* SG: Cmm2 (35)

***

2.
The following is a DFT calculation (GGA-PBEsol) of an optimized crystal structure of ScAu.

a = 3.354 Å, b = 3.354 Å, c = 3.354 Å
α = 90.00°, β = 90.00°, γ = 90.00°
Fractional coordinates of all 2 atoms:
Sc 0.000 0.000 0.000
Au 0.500 0.500 0.500

Properties
* calculated total energy: -6.09 eV/atom
* DOS(E_F): 1.299 states/eV per cell
* SG: Pm-3m (221)

***

- What is the formula in the second record?
  ScAu

***

- Which of these has the highest calculated total energy?
  HgSeCl2

***

- Which of these has the highest calculated total energy?
  HgSeCl2

***

What did the second record say?
The following is a DFT calculation (GGA-PBEsol) of an optimized crystal structure of ScAu.

a = 3.354 Å, b = 3.354 Å, c = 3.354 Å
α = 90.00°, β = 90.00°, γ = 90.00°
Fractional coordinates of all 2 atoms:
Sc 0.000 0.000 0.000
Au 0.500 0.500 0.500

Properties
* calculated total energy: -6.09 eV/atom
* DOS(E_F): 1.299 states/eV per cell
* SG: Pm-3m (221)